Entry P
Material: KBi3Au
Method: DFT, GGA-PBE
State: relaxed

## Properties
The density comes out at 7.720 g/cm³. As for the space group: No. 221. The calculation puts the magnetic moment at 0.000 μB per atom.

Unit cell a=5.7046 b=5.7046 c=5.7046 alpha=90.00 beta=90.00 gamma=90.00
Fractional coordinates of all 5 atoms:
K1 0.5000 0.5000 0.5000
Au1 0.0000 0.0000 0.0000
Bi1 0.0000 0.5000 0.0000
Bi2 0.0000 0.0000 0.5000
Bi3 0.5000 0.0000 0.0000


Entry Q
Material: KBi3Au
Method: DFT, GGA-PBE
State: relaxed

## Properties
The density comes out at 8.339 g/cm³. As for the space group: No. 65. The calculation puts the magnetic moment at 0.000 μB per atom.

Unit cell a=4.8551 b=5.0843 c=14.1533 alpha=100.35 beta=90.00 gamma=90.00
Fractional coordinates of all 10 atoms:
K1 0.5000 0.8334 0.6668
K2 0.5000 0.1666 0.3332
Bi1 0.0000 0.0570 0.1140
Bi2 0.0000 0.9430 0.8860
Bi3 0.0000 0.2808 0.5616
Bi4 0.0000 0.7192 0.4384
Bi5 0.5000 0.4433 0.8866
Bi6 0.5000 0.5567 0.1134
Au1 0.0000 0.6191 0.2381
Au2 0.0000 0.3809 0.7619


Entry R
Material: KBi3Au
Method: DFT, GGA-PBE
State: relaxed

## Properties
The density comes out at 8.714 g/cm³. As for the space group: No. 31. The calculation puts the magnetic moment at 0.000 μB per atom.

Unit cell a=6.8254 b=6.8041 c=7.0825 alpha=90.00 beta=90.00 gamma=90.00
Fractional coordinates of all 10 atoms:
K1 0.4584 0.3993 0.7008
K2 0.9584 0.9535 0.2006
Bi1 0.3472 0.2848 0.2008
Bi2 0.4640 0.8942 0.9562
Bi3 0.9639 0.4587 0.4562
Bi4 0.8472 0.0680 0.7007
Bi5 0.9639 0.4586 0.9454
Bi6 0.4639 0.8941 0.4454
Au1 0.1446 0.7686 0.7009
Au2 0.6446 0.5842 0.2008


Which structure above is the least stable? It is entry P.